(1)
First-principles (PBE-GGA) data for a relaxed TmTl5 crystal, as listed in Alexandria via LeMat-Bulk.

Results
- Volume: 170.86 Å³ per cell
- Magnetic moment: 0.0000 μB per atom
- Formation energy from the elements: -3.6 kJ/mol of atoms
- Density of states at the Fermi level: 3.54 states/eV per cell

a b c (Å): 8.083 8.083 4.542
angles (deg): 90.00 90.00 144.84
Fractional coordinates of all 6 atoms:
Tm: 0.000 0.000 0.000
Tl: 0.164 0.836 0.500
Tl: 0.335 0.665 0.000
Tl: 0.500 0.500 0.500
Tl: 0.665 0.335 0.000
Tl: 0.836 0.164 0.500

---

(2)
First-principles (PBE-GGA) data for a relaxed TmTl7 crystal, as listed in Alexandria via LeMat-Bulk.

Results
- Volume: 229.52 Å³ per cell
- Magnetic moment: 0.0000 μB per atom
- Formation energy from the elements: -5.2 kJ/mol of atoms
- Density of states at the Fermi level: 2.71 states/eV per cell

a b c (Å): 6.872 6.872 6.872
angles (deg): 60.00 60.00 60.00
Fractional coordinates of all 8 atoms:
Tm: 0.000 0.000 0.000
Tl: 0.000 0.000 0.500
Tl: 0.000 0.500 0.000
Tl: 0.000 0.500 0.500
Tl: 0.500 0.000 0.000
Tl: 0.500 0.000 0.500
Tl: 0.500 0.500 0.000
Tl: 0.500 0.500 0.500

---

(3)
First-principles (PBE-GGA) data for a relaxed TmTl6 crystal, as listed in Alexandria via LeMat-Bulk.

Results
- Volume: 297.99 Å³ per cell
- Magnetic moment: 0.0000 μB per atom
- Formation energy from the elements: 57.1 kJ/mol of atoms
- Density of states at the Fermi level: 6.68 states/eV per cell

a b c (Å): 7.288 7.288 7.288
angles (deg): 109.47 109.47 109.47
Fractional coordinates of all 7 atoms:
Tm: 0.000 0.000 0.000
Tl: 0.250 0.500 0.750
Tl: 0.250 0.750 0.500
Tl: 0.500 0.250 0.750
Tl: 0.500 0.750 0.250
Tl: 0.750 0.250 0.500
Tl: 0.750 0.500 0.250

---

(4)
First-principles (PBE-GGA) data for a relaxed TmTl4 crystal, as listed in Alexandria via LeMat-Bulk.

Results
- Volume: 202.26 Å³ per cell
- Magnetic moment: 0.0000 μB per atom
- Formation energy from the elements: 34.4 kJ/mol of atoms
- Density of states at the Fermi level: 4.58 states/eV per cell

a b c (Å): 5.870 5.870 5.870
angles (deg): 90.00 90.00 90.00
Fractional coordinates of all 5 atoms:
Tm: 0.000 0.000 0.000
Tl: 0.000 0.000 0.500
Tl: 0.000 0.500 0.000
Tl: 0.500 0.000 0.000
Tl: 0.500 0.500 0.500